This record from Alexandria via LeMat-Bulk describes crystalline KSiHO3 at its relaxed geometry. The functional is PBEsol.

a b c (Å): 7.508 7.508 11.264
angles (deg): 90.00 90.00 79.47
Atoms (fractional coordinates):
K: 0.011 0.489 0.750
K: 0.177 0.823 0.956
K: 0.323 0.677 0.456
K: 0.489 0.011 0.250
K: 0.511 0.989 0.750
K: 0.677 0.323 0.544
K: 0.823 0.177 0.044
K: 0.989 0.511 0.250
Si: 0.012 0.988 0.686
Si: 0.197 0.197 0.500
Si: 0.303 0.303 0.000
Si: 0.488 0.512 0.186
Si: 0.512 0.488 0.814
Si: 0.697 0.697 0.000
Si: 0.803 0.803 0.500
Si: 0.988 0.012 0.314
H: 0.000 0.500 0.000
H: 0.000 0.500 0.500
H: 0.178 0.822 0.192
H: 0.322 0.678 0.692
H: 0.500 0.000 0.000
H: 0.500 0.000 0.500
H: 0.678 0.322 0.308
H: 0.822 0.178 0.808
O: 0.063 0.163 0.612
O: 0.068 0.932 0.185
O: 0.092 0.362 0.036
O: 0.138 0.408 0.464
O: 0.163 0.063 0.388
O: 0.176 0.824 0.703
O: 0.324 0.676 0.203
O: 0.337 0.437 0.888
O: 0.362 0.092 0.964
O: 0.408 0.138 0.536
O: 0.432 0.568 0.685
O: 0.437 0.337 0.112
O: 0.563 0.663 0.888
O: 0.568 0.432 0.315
O: 0.592 0.862 0.464
O: 0.638 0.908 0.036
O: 0.663 0.563 0.112
O: 0.676 0.324 0.797
O: 0.824 0.176 0.297
O: 0.837 0.937 0.612
O: 0.862 0.592 0.536
O: 0.908 0.638 0.964
O: 0.932 0.068 0.815
O: 0.937 0.837 0.388

space-group type	Cmce
E	-6.53	eV/atom



This record from Alexandria via LeMat-Bulk describes crystalline LaTeOs2 at its relaxed geometry. The functional is PBEsol.

a b c (Å): 3.108 3.108 8.184
angles (deg): 90.00 90.00 90.00
Atoms (fractional coordinates):
La: 0.000 0.000 0.000
Te: 0.500 0.500 0.684
Os: 0.000 0.000 0.454
Os: 0.500 0.500 0.274

formation energy from raw total energies	344.6	meV per atom
space-group type	P4mm



This record from Alexandria via LeMat-Bulk describes crystalline Ba5Ga2S8 at its relaxed geometry. The functional is PBEsol.

a b c (Å): 12.712 12.712 11.770
angles (deg): 90.00 90.00 56.48
Atoms (fractional coordinates):
Ba: 0.006 0.494 0.750
Ba: 0.062 0.743 0.994
Ba: 0.096 0.105 0.343
Ba: 0.105 0.096 0.657
Ba: 0.243 0.562 0.494
Ba: 0.257 0.938 0.994
Ba: 0.395 0.404 0.157
Ba: 0.404 0.395 0.843
Ba: 0.438 0.757 0.494
Ba: 0.494 0.006 0.250
Ba: 0.506 0.994 0.750
Ba: 0.562 0.243 0.506
Ba: 0.596 0.605 0.157
Ba: 0.605 0.596 0.843
Ba: 0.743 0.062 0.006
Ba: 0.757 0.438 0.506
Ba: 0.895 0.904 0.343
Ba: 0.904 0.895 0.657
Ba: 0.938 0.257 0.006
Ba: 0.994 0.506 0.250
Ga: 0.188 0.812 0.268
Ga: 0.250 0.250 0.000
Ga: 0.250 0.250 0.500
Ga: 0.312 0.688 0.768
Ga: 0.688 0.312 0.232
Ga: 0.750 0.750 0.000
Ga: 0.750 0.750 0.500
Ga: 0.812 0.188 0.732
S: 0.028 0.972 0.152
S: 0.038 0.337 0.503
S: 0.146 0.854 0.463
S: 0.153 0.662 0.742
S: 0.162 0.653 0.242
S: 0.163 0.462 0.997
S: 0.187 0.187 0.150
S: 0.187 0.187 0.850
S: 0.313 0.313 0.350
S: 0.313 0.313 0.650
S: 0.337 0.038 0.497
S: 0.338 0.847 0.742
S: 0.347 0.838 0.242
S: 0.354 0.646 0.963
S: 0.462 0.163 0.003
S: 0.472 0.528 0.652
S: 0.528 0.472 0.348
S: 0.538 0.837 0.997
S: 0.646 0.354 0.037
S: 0.653 0.162 0.758
S: 0.662 0.153 0.258
S: 0.663 0.962 0.503
S: 0.687 0.687 0.350
S: 0.687 0.687 0.650
S: 0.813 0.813 0.150
S: 0.813 0.813 0.850
S: 0.837 0.538 0.003
S: 0.838 0.347 0.758
S: 0.847 0.338 0.258
S: 0.854 0.146 0.537
S: 0.962 0.663 0.497
S: 0.972 0.028 0.848

formation energy from raw total energies	-1701.9	meV per atom
space-group type	Cmce



This record from Alexandria via LeMat-Bulk describes crystalline Y2HfPt2 at its relaxed geometry. The functional is PBEsol.

a b c (Å): 6.932 6.932 4.519
angles (deg): 90.00 90.00 90.00
Atoms (fractional coordinates):
Y: 0.170 0.330 0.000
Y: 0.330 0.830 0.000
Y: 0.670 0.170 0.000
Y: 0.830 0.670 0.000
Hf: 0.000 0.000 0.500
Hf: 0.500 0.500 0.500
Pt: 0.140 0.640 0.500
Pt: 0.360 0.140 0.500
Pt: 0.640 0.860 0.500
Pt: 0.860 0.360 0.500

E_form	-0.9510	eV per atom
space-group type	P4/mbm



This record from Alexandria via LeMat-Bulk describes crystalline KLiF3 at its relaxed geometry. The functional is PBEsol.

a b c (Å): 3.937 3.937 3.937
angles (deg): 90.00 90.00 90.00
Atoms (fractional coordinates):
K: 0.000 0.000 0.000
Li: 0.500 0.500 0.500
F: 0.000 0.500 0.500
F: 0.500 0.000 0.500
F: 0.500 0.500 0.000

formation energy from raw total energies	-2251.2	meV per atom
space-group type	Pm-3m



This record from Alexandria via LeMat-Bulk describes crystalline Cd2NiRh at its relaxed geometry. The functional is PBEsol.

a b c (Å): 9.906 2.891 4.650
angles (deg): 90.00 111.18 90.00
Atoms (fractional coordinates):
Cd: 0.000 0.000 0.000
Cd: 0.220 0.000 0.637
Cd: 0.500 0.500 0.000
Cd: 0.720 0.500 0.637
Ni: 0.250 0.500 0.151
Ni: 0.750 0.000 0.151
Rh: 0.461 0.000 0.472
Rh: 0.961 0.500 0.472

E_form	0.0247	eV per atom
space-group type	Cm



This record from Alexandria via LeMat-Bulk describes crystalline Hf2Ni2Ir at its relaxed geometry. The functional is PBEsol.

a b c (Å): 6.800 6.800 3.200
angles (deg): 90.00 90.00 90.00
Atoms (fractional coordinates):
Hf: 0.181 0.319 0.000
Hf: 0.319 0.819 0.000
Hf: 0.681 0.181 0.000
Hf: 0.819 0.681 0.000
Ni: 0.122 0.622 0.500
Ni: 0.378 0.122 0.500
Ni: 0.622 0.878 0.500
Ni: 0.878 0.378 0.500
Ir: 0.000 0.000 0.500
Ir: 0.500 0.500 0.500

E_form	-0.6483	eV per atom
space-group type	P4/mbm



This record from Alexandria via LeMat-Bulk describes crystalline BaMg2Fe at its relaxed geometry. The functional is PBEsol.

a b c (Å): 7.425 7.425 7.425
angles (deg): 90.00 90.00 90.00
Atoms (fractional coordinates):
Ba: 0.000 0.000 0.000
Ba: 0.000 0.500 0.500
Ba: 0.500 0.000 0.500
Ba: 0.500 0.500 0.000
Mg: 0.000 0.000 0.500
Mg: 0.000 0.500 0.000
Mg: 0.250 0.250 0.250
Mg: 0.250 0.750 0.750
Mg: 0.500 0.000 0.000
Mg: 0.500 0.500 0.500
Mg: 0.750 0.250 0.750
Mg: 0.750 0.750 0.250
Fe: 0.250 0.250 0.750
Fe: 0.250 0.750 0.250
Fe: 0.750 0.250 0.250
Fe: 0.750 0.750 0.750

E_form	0.5637	eV per atom
space-group type	F-43m